Below is a relaxed LiPm2Si3Ni4 crystal, with properties calculated at the PBE level. Values from VASP.

The structure in Quantum ESPRESSO input format:
```
&SYSTEM
  ibrav = 0, nat = 10, ntyp = 4
/
ATOMIC_SPECIES
Li 6.94 Li.upf
Pm 145.00 Pm.upf
Si 28.09 Si.upf
Ni 58.69 Ni.upf
CELL_PARAMETERS angstrom
-2.916 2.702 0.788
-2.710 -2.387 -1.840
-1.791 -4.348 8.277
ATOMIC_POSITIONS crystal
Li 0.500 0.500 0.500
Pm 0.500 0.000 0.249
Pm 0.000 0.500 0.751
Si 0.000 0.000 0.500
Si 0.500 0.000 0.874
Si 0.000 0.500 0.126
Ni 0.500 0.500 0.000
Ni 0.000 0.000 0.000
Ni 0.500 0.000 0.629
Ni 0.000 0.500 0.371
```

Results
SG   P-4m2 (115)
Formation energy (no corrections)   -6.8 eV per formula unit
Uncorrected energy   -57.61 eV/cell


Below is a relaxed HfZnTe2N crystal, with properties calculated at the PBE level. Values from VASP.

The structure in Quantum ESPRESSO input format:
```
&SYSTEM
  ibrav = 0, nat = 5, ntyp = 4
/
ATOMIC_SPECIES
Zn 65.41 Zn.upf
Te 127.60 Te.upf
Hf 178.49 Hf.upf
N 14.01 N.upf
CELL_PARAMETERS angstrom
5.451 0.000 0.000
0.000 5.451 0.000
0.000 0.000 3.671
ATOMIC_POSITIONS crystal
Zn 0.000 0.000 0.000
Te 0.000 0.500 0.000
Te 0.500 0.000 0.000
Hf 0.500 0.500 0.500
N 0.000 0.000 0.500
```

Results
SG   P4/mmm (123)
Formation energy (no corrections)   3.3 eV per formula unit
Uncorrected energy   -22.57 eV/cell
Distance to the lowest polymorph of the same formula   562 meV per atom


Below is a relaxed TlIn3 crystal, with properties calculated at the PBE level. Values from VASP.

The structure in Quantum ESPRESSO input format:
```
&SYSTEM
  ibrav = 0, nat = 4, ntyp = 2
/
ATOMIC_SPECIES
Tl 204.38 Tl.upf
In 114.82 In.upf
CELL_PARAMETERS angstrom
3.645 0.000 0.000
0.000 4.283 0.000
0.000 0.000 7.225
ATOMIC_POSITIONS crystal
Tl 0.000 0.000 0.000
In 0.500 0.500 0.739
In 0.000 0.000 0.500
In 0.500 0.500 0.261
```

Results
Energy of formation   0.0139 eV per atom
SG   Pmmm (47)
Uncorrected energy   -10.53 eV/cell


Number 1: M_tot 0.00 μB per cell. Number 2: M_tot 1.70 μB per cell. Number 3: M_tot 0.00 μB per cell.